DFT (PBEsol) results for a relaxed structure of YZr2Ni.

a = 3.251 Å, b = 4.916 Å, c = 5.974 Å
α = 114.30°, β = 105.79°, γ = 90.00°
Positions (direct):
Zr  0.794  0.794  0.588
Zr  0.206  0.206  0.412
Ni  0.500  0.000  0.000
Y  0.000  0.500  0.000

Values from the calculation:
DFT total energy = -7.911 eV/atom
crystal system = orthorhombic
energy relative to the elements = -121 meV/atom
D(E_F) = 5.2 states/eV/cell
SG = No. 71
distance to the lowest polymorph of the same formula = 16 kJ/mol of formula units

=====

DFT (PBEsol) results for a relaxed structure of Mg2Nb2CoO8.

a = 5.113 Å, b = 5.947 Å, c = 9.832 Å
α = 107.61°, β = 90.91°, γ = 90.00°
Last column: magnetic moment on the atom in μB.
Positions (direct):
Nb  0.751  0.947  0.227  0.07
Nb  0.249  0.053  0.773  0.07
Nb  0.251  0.280  0.227  0.07
Nb  0.749  0.720  0.773  0.07
O  0.407  0.951  0.136  0.03
O  0.907  0.185  0.136  0.03
O  0.043  0.087  0.374  0.01
O  0.957  0.913  0.626  0.01
O  0.614  0.834  0.380  0.01
O  0.114  0.546  0.380  0.01
O  0.386  0.166  0.620  0.01
O  0.886  0.454  0.620  0.01
O  0.093  0.815  0.864  0.03
O  0.593  0.049  0.864  0.03
O  0.579  0.566  0.886  0.09
O  0.543  0.287  0.374  0.01
O  0.079  0.320  0.886  0.09
O  0.921  0.680  0.114  0.09
O  0.421  0.434  0.114  0.09
O  0.457  0.713  0.626  0.01
Mg  0.253  0.870  0.458  0.00
Mg  0.247  0.412  0.542  0.00
Mg  0.753  0.588  0.458  0.00
Mg  0.747  0.130  0.542  0.00
Co  0.250  0.632  0.000  2.51
Co  0.750  0.368  0.000  2.51

Values from the calculation:
DFT total energy = -8.065 eV/atom
crystal system = monoclinic
D(E_F) = 10.1 states/eV/cell
uncorrected formation energy = -2310.1 meV/atom
SG = No. 15

=====

DFT (PBEsol) results for a relaxed structure of IrPbS2.

a = 3.539 Å, b = 3.539 Å, c = 8.362 Å
α = 77.78°, β = 77.78°, γ = 60.00°
Positions (direct):
S  0.119  0.119  0.643
S  0.881  0.881  0.357
Ir  0.500  0.500  0.500
Pb  0.000  0.000  0.000

Values from the calculation:
DFT total energy = -5.999 eV/atom
crystal system = trigonal
D(E_F) = 2.1 states/eV/cell
uncorrected formation energy = -351.2 meV/atom
SG = No. 166

=====

DFT (PBEsol) results for a relaxed structure of TlCuF3.

a = 5.738 Å, b = 5.738 Å, c = 5.738 Å
α = 92.26°, β = 118.70°, γ = 118.70°
Positions (direct):
F  0.500  0.268  0.232
F  0.500  0.750  0.250
F  0.037  0.768  0.268
F  0.500  0.250  0.750
F  0.963  0.232  0.732
F  0.500  0.732  0.768
Cu  0.500  0.500  0.000
Cu  0.500  0.000  0.500
Tl  0.000  0.750  0.750
Tl  0.000  0.250  0.250

Values from the calculation:
DFT total energy = -4.170 eV/atom
crystal system = tetragonal
D(E_F) = 2.2 states/eV/cell
uncorrected formation energy = -1620.7 meV/atom
SG = No. 140

=====

DFT (PBEsol) results for a relaxed structure of CdSb2Se3Br2.

a = 4.021 Å, b = 10.649 Å, c = 11.568 Å
α = 65.54°, β = 79.99°, γ = 79.12°
Positions (direct):
Br  0.103  0.340  0.454
Br  0.897  0.660  0.546
Br  0.787  0.076  0.350
Br  0.213  0.924  0.650
Se  0.538  0.135  0.790
Se  0.323  0.495  0.860
Se  0.677  0.505  0.140
Se  0.899  0.172  0.030
Se  0.462  0.865  0.210
Se  0.101  0.828  0.970
Sb  0.952  0.314  0.782
Sb  0.048  0.686  0.218
Sb  0.294  0.316  0.097
Sb  0.706  0.684  0.903
Cd  0.649  0.152  0.551
Cd  0.351  0.848  0.449

Values from the calculation:
DFT total energy = -3.674 eV/atom
crystal system = monoclinic
uncorrected formation energy = -473.9 meV/atom
SG = No. 12

=====

DFT (PBEsol) results for a relaxed structure of Sc2SbP.

a = 3.923 Å, b = 3.923 Å, c = 5.551 Å
α = 90.00°, β = 90.00°, γ = 90.00°
Positions (direct):
P  0.000  0.000  0.375
Sc  0.000  0.000  0.875
Sc  0.500  0.500  0.375
Sb  0.500  0.500  0.875

Values from the calculation:
DFT total energy = -7.013 eV/atom
crystal system = tetragonal
D(E_F) = 0.7 states/eV/cell
uncorrected formation energy = -1123.6 meV/atom
SG = No. 123

=====

DFT (PBEsol) results for a relaxed structure of BeRe2Sn2.

a = 3.794 Å, b = 3.794 Å, c = 7.036 Å
α = 105.64°, β = 105.64°, γ = 90.00°
Positions (direct):
Be  0.000  0.000  0.000
Sn  0.750  0.250  0.500
Sn  0.250  0.750  0.500
Re  0.406  0.406  0.813
Re  0.594  0.594  0.187

Values from the calculation:
DFT total energy = -6.634 eV/atom
crystal system = tetragonal
energy relative to the elements = 1202 meV/atom
D(E_F) = 4.3 states/eV/cell
SG = No. 139

=====

DFT (PBEsol) results for a relaxed structure of YTl3.

a = 3.920 Å, b = 3.920 Å, c = 6.897 Å
α = 90.00°, β = 90.00°, γ = 90.00°
Positions (direct):
Tl  0.000  0.000  0.249
Tl  0.000  0.000  0.751
Tl  0.500  0.500  0.000
Y  0.500  0.500  0.500

Values from the calculation:
DFT total energy = -3.862 eV/atom
crystal system = tetragonal
energy relative to the elements = -184 meV/atom
D(E_F) = 3.0 states/eV/cell
SG = No. 123

=====

DFT (PBEsol) results for a relaxed structure of ZrSi2MoPt.

a = 4.815 Å, b = 4.815 Å, c = 4.818 Å
α = 90.00°, β = 90.00°, γ = 90.00°
Last column: magnetic moment on the atom in μB.
Positions (direct):
Zr  0.000  0.000  0.000  -0.05
Mo  0.500  0.500  0.500  3.02
Pt  0.000  0.000  0.500  -0.06
Si  0.500  0.000  0.000  -0.03
Si  0.000  0.500  0.000  -0.03

Values from the calculation:
DFT total energy = -6.424 eV/atom
crystal system = tetragonal
D(E_F) = 3.2 states/eV/cell
uncorrected formation energy = 1438.6 meV/atom
SG = No. 123

=====

DFT (PBEsol) results for a relaxed structure of AgTe2.

a = 3.962 Å, b = 3.962 Å, c = 6.099 Å
α = 71.05°, β = 71.05°, γ = 60.00°
Positions (direct):
Te  0.764  0.764  0.708
Te  0.236  0.236  0.292
Ag  0.000  0.000  0.000

Values from the calculation:
DFT total energy = -3.378 eV/atom
crystal system = trigonal
D(E_F) = 1.8 states/eV/cell
uncorrected formation energy = 76.7 meV/atom
SG = No. 166

=====

DFT (PBEsol) results for a relaxed structure of CaY2Ge4O12.

a = 5.068 Å, b = 9.984 Å, c = 9.984 Å
α = 90.01°, β = 90.00°, γ = 90.00°
Positions (direct):
Y  0.500  0.750  0.750
Y  0.500  0.500  0.000
Y  0.500  0.250  0.250
Y  0.500  0.000  0.500
O  0.746  0.676  0.570
O  0.258  0.828  0.559
O  0.833  0.624  0.124
O  0.746  0.430  0.324
O  0.833  0.876  0.376
O  0.742  0.172  0.441
O  0.742  0.328  0.059
O  0.849  0.370  0.630
O  0.258  0.672  0.941
O  0.258  0.059  0.328
O  0.151  0.870  0.130
O  0.254  0.176  0.070
O  0.254  0.324  0.430
O  0.742  0.559  0.828
O  0.167  0.376  0.876
O  0.151  0.630  0.370
O  0.849  0.130  0.870
O  0.746  0.824  0.930
O  0.254  0.570  0.676
O  0.258  0.441  0.172
O  0.742  0.941  0.672
O  0.254  0.930  0.824
O  0.746  0.070  0.176
O  0.167  0.124  0.624
Ge  0.004  0.250  0.980
Ge  0.996  0.980  0.250
Ge  0.996  0.520  0.250
Ge  0.004  0.250  0.520
Ge  0.996  0.750  0.480
Ge  0.004  0.020  0.750
Ge  0.004  0.480  0.750
Ge  0.996  0.750  0.020
Ca  0.500  0.500  0.500
Ca  0.500  0.000  0.000

Values from the calculation:
DFT total energy = -7.614 eV/atom
crystal system = orthorhombic
D(E_F) = 0.0 states/eV/cell
uncorrected formation energy = -2428.2 meV/atom
SG = No. 67

=====

DFT (PBEsol) results for a relaxed structure of Li2TiCr3O8.

a = 5.783 Å, b = 5.770 Å, c = 5.797 Å
α = 118.18°, β = 90.00°, γ = 120.07°
Last column: magnetic moment on the atom in μB.
Positions (direct):
O  0.268  0.536  0.788  0.02
O  0.732  0.464  0.212  0.02
O  0.763  0.033  0.794  -0.01
O  0.270  0.033  0.794  -0.01
O  0.237  0.967  0.206  -0.01
O  0.730  0.967  0.206  -0.01
O  0.765  0.531  0.783  0.01
O  0.235  0.469  0.217  0.01
Li  0.500  0.500  0.500  0.00
Li  0.000  0.500  0.500  0.00
Cr  0.000  0.500  0.000  2.57
Cr  0.500  0.500  0.000  2.57
Cr  0.500  0.000  0.000  2.37
Ti  0.000  0.000  0.000  0.12

Values from the calculation:
DFT total energy = -8.252 eV/atom
crystal system = monoclinic
D(E_F) = 5.4 states/eV/cell
uncorrected formation energy = -2182.5 meV/atom
SG = No. 12
distance to the lowest polymorph of the same formula = 99 kJ/mol of formula units

=====

DFT (PBEsol) results for a relaxed structure of AlCoPt2.

a = 2.760 Å, b = 4.487 Å, c = 4.487 Å
α = 105.18°, β = 90.00°, γ = 90.00°
Last column: magnetic moment on the atom in μB.
Positions (direct):
Pt  0.000  0.000  0.500  0.12
Pt  0.000  0.500  0.000  0.12
Co  0.500  0.500  0.500  1.52
Al  0.500  0.000  0.000  0.00

Values from the calculation:
DFT total energy = -6.992 eV/atom
crystal system = orthorhombic
energy relative to the elements = -553 meV/atom
D(E_F) = 3.8 states/eV/cell
SG = No. 65

=====

DFT (PBEsol) results for a relaxed structure of YSnPIr2.

a = 4.858 Å, b = 4.858 Å, c = 5.505 Å
α = 90.00°, β = 90.00°, γ = 90.00°
Last column: magnetic moment on the atom in μB.
Positions (direct):
Sn  0.000  0.000  0.500  0.01
Ir  0.500  0.000  0.000  0.22
Ir  0.000  0.500  0.000  0.22
Y  0.000  0.000  0.000  0.00
P  0.500  0.500  0.500  0.04

Values from the calculation:
DFT total energy = -5.355 eV/atom
crystal system = tetragonal
energy relative to the elements = 1949 meV/atom
D(E_F) = 9.6 states/eV/cell
SG = No. 123

=====

DFT (PBEsol) results for a relaxed structure of MgZnH12C4O12.

a = 6.981 Å, b = 8.536 Å, c = 9.381 Å
α = 98.37°, β = 90.00°, γ = 90.00°
Positions (direct):
Zn  0.500  0.000  0.500
Zn  0.000  0.000  0.000
O  0.643  0.286  0.009
O  0.357  0.714  0.991
O  0.506  0.778  0.567
O  0.633  0.907  0.312
O  0.857  0.286  0.509
O  0.595  0.595  0.206
O  0.095  0.405  0.294
O  0.494  0.222  0.433
O  0.786  0.060  0.595
O  0.756  0.582  0.410
O  0.214  0.940  0.405
O  0.867  0.907  0.812
O  0.143  0.714  0.491
O  0.405  0.405  0.794
O  0.244  0.418  0.590
O  0.133  0.093  0.188
O  0.905  0.595  0.706
O  0.286  0.940  0.905
O  0.006  0.222  0.933
O  0.367  0.093  0.688
O  0.256  0.418  0.090
O  0.994  0.778  0.067
O  0.714  0.060  0.095
O  0.744  0.582  0.910
H  0.901  0.707  0.008
H  0.373  0.738  0.541
H  0.343  0.032  0.771
H  0.657  0.968  0.229
H  0.401  0.293  0.492
H  0.273  0.588  0.266
H  0.604  0.795  0.270
H  0.599  0.707  0.508
H  0.099  0.293  0.992
H  0.873  0.262  0.959
H  0.045  0.170  0.625
H  0.843  0.968  0.729
H  0.955  0.830  0.375
H  0.896  0.795  0.770
H  0.773  0.412  0.234
H  0.127  0.738  0.041
H  0.157  0.032  0.271
H  0.104  0.205  0.230
H  0.227  0.588  0.766
H  0.627  0.262  0.459
H  0.455  0.170  0.125
H  0.396  0.205  0.730
H  0.545  0.830  0.875
H  0.727  0.412  0.734
C  0.709  0.527  0.282
C  0.900  0.172  0.577
C  0.600  0.172  0.077
C  0.291  0.473  0.718
C  0.209  0.473  0.218
C  0.100  0.828  0.423
C  0.400  0.828  0.923
C  0.791  0.527  0.782
Mg  0.000  0.500  0.500
Mg  0.500  0.500  0.000

Values from the calculation:
DFT total energy = -5.949 eV/atom
crystal system = monoclinic
D(E_F) = 0.0 states/eV/cell
SG = No. 14

=====

DFT (PBEsol) results for a relaxed structure of TiSiGeB2.

a = 3.859 Å, b = 3.859 Å, c = 4.940 Å
α = 90.00°, β = 90.00°, γ = 90.00°
Positions (direct):
B  0.000  0.500  0.000
B  0.500  0.000  0.000
Si  0.000  0.000  0.000
Ge  0.500  0.500  0.500
Ti  0.000  0.000  0.500

Values from the calculation:
DFT total energy = -5.630 eV/atom
crystal system = tetragonal
D(E_F) = 2.9 states/eV/cell
uncorrected formation energy = 978.1 meV/atom
SG = No. 123

=====

DFT (PBEsol) results for a relaxed structure of YScTl2.

a = 4.340 Å, b = 4.340 Å, c = 6.068 Å
α = 110.96°, β = 110.96°, γ = 90.00°
Positions (direct):
Tl  0.750  0.250  0.500
Tl  0.000  0.000  0.000
Sc  0.250  0.750  0.500
Y  0.500  0.500  0.000

Values from the calculation:
DFT total energy = -4.996 eV/atom
crystal system = tetragonal
energy relative to the elements = -324 meV/atom
D(E_F) = 3.8 states/eV/cell
SG = No. 119

=====

DFT (PBEsol) results for a relaxed structure of Mg2ReSb.

a = 2.866 Å, b = 5.258 Å, c = 5.258 Å
α = 113.05°, β = 90.00°, γ = 90.00°
Positions (direct):
Re  0.500  0.000  0.000
Mg  0.000  0.500  0.000
Mg  0.000  0.000  0.500
Sb  0.500  0.500  0.500

Values from the calculation:
DFT total energy = -4.992 eV/atom
crystal system = orthorhombic
D(E_F) = 3.0 states/eV/cell
uncorrected formation energy = 338.6 meV/atom
SG = No. 65

=====

DFT (PBEsol) results for a relaxed structure of CaLa3Sn.

a = 6.067 Å, b = 6.067 Å, c = 6.067 Å
α = 90.00°, β = 90.00°, γ = 90.00°
Last column: magnetic moment on the atom in μB.
Positions (direct):
Ca  0.500  0.500  0.500  0.02
La  0.000  0.500  0.000  0.09
La  0.500  0.000  0.000  0.09
La  0.000  0.000  0.500  0.09
Sn  0.000  0.000  0.000  0.02

Values from the calculation:
DFT total energy = -4.376 eV/atom
crystal system = cubic
energy relative to the elements = 110 meV/atom
D(E_F) = 11.3 states/eV/cell
SG = No. 221

=====

DFT (PBEsol) results for a relaxed structure of Tc3P.

a = 2.853 Å, b = 2.853 Å, c = 6.436 Å
α = 90.00°, β = 90.00°, γ = 90.00°
Positions (direct):
P  0.000  0.000  0.000
Tc  0.500  0.500  0.222
Tc  0.500  0.500  0.778
Tc  0.000  0.000  0.500

Values from the calculation:
DFT total energy = -10.214 eV/atom
crystal system = tetragonal
energy relative to the elements = -317 meV/atom
D(E_F) = 2.9 states/eV/cell
SG = No. 123
distance to the lowest polymorph of the same formula = 28 kJ/mol of formula units